A geometry-optimized SiBi2Mo structure, computed with PBE.

CIF file:
```
data_SiBi2Mo
_cell_length_a 4.992
_cell_length_b 4.992
_cell_length_c 4.992
_cell_angle_alpha 60.00
_cell_angle_beta 60.00
_cell_angle_gamma 60.00
_symmetry_space_group_name_H-M 'P 1'
_symmetry_Int_Tables_number 1
loop_
_symmetry_equiv_pos_as_xyz
'x,y,z'
loop_
_atom_site_label
_atom_site_type_symbol
_atom_site_fract_x
_atom_site_fract_y
_atom_site_fract_z
Si1 Si 0.000 0.000 0.000
Bi1 Bi 0.500 0.500 0.500
Bi2 Bi 0.750 0.750 0.750
Mo1 Mo 0.250 0.250 0.250
```

Values from the calculation:
Theoretical density (g cm⁻³): 10.23

---

A geometry-optimized SiBiMo structure, computed with PBE.

CIF file:
```
data_SiBiMo
_cell_length_a 4.560
_cell_length_b 4.560
_cell_length_c 4.560
_cell_angle_alpha 60.00
_cell_angle_beta 60.00
_cell_angle_gamma 60.00
_symmetry_space_group_name_H-M 'P 1'
_symmetry_Int_Tables_number 1
loop_
_symmetry_equiv_pos_as_xyz
'x,y,z'
loop_
_atom_site_label
_atom_site_type_symbol
_atom_site_fract_x
_atom_site_fract_y
_atom_site_fract_z
Si1 Si 0.000 0.000 0.000
Bi1 Bi 0.500 0.500 0.500
Mo1 Mo 0.750 0.750 0.750
```

Values from the calculation:
Excess energy over the best structure of this formula in the dataset (meV/atom): 0
Theoretical density (g cm⁻³): 8.25

---

A geometry-optimized Si2BiMo structure, computed with PBE.

CIF file:
```
data_Si2BiMo
_cell_length_a 4.701
_cell_length_b 4.701
_cell_length_c 4.701
_cell_angle_alpha 60.00
_cell_angle_beta 60.00
_cell_angle_gamma 60.00
_symmetry_space_group_name_H-M 'P 1'
_symmetry_Int_Tables_number 1
loop_
_symmetry_equiv_pos_as_xyz
'x,y,z'
loop_
_atom_site_label
_atom_site_type_symbol
_atom_site_fract_x
_atom_site_fract_y
_atom_site_fract_z
Si1 Si 0.000 0.000 0.000
Si2 Si 0.250 0.250 0.250
Bi1 Bi 0.500 0.500 0.500
Mo1 Mo 0.750 0.750 0.750
```

Values from the calculation:
Theoretical density (g cm⁻³): 8.16

---

A geometry-optimized SrBi2Mo2 structure, computed with PBE.

CIF file:
```
data_SrBi2Mo2
_cell_length_a 5.153
_cell_length_b 4.330
_cell_length_c 11.704
_cell_angle_alpha 90.00
_cell_angle_beta 92.84
_cell_angle_gamma 90.00
_symmetry_space_group_name_H-M 'P 1'
_symmetry_Int_Tables_number 1
loop_
_symmetry_equiv_pos_as_xyz
'x,y,z'
loop_
_atom_site_label
_atom_site_type_symbol
_atom_site_fract_x
_atom_site_fract_y
_atom_site_fract_z
Sr1 Sr 0.195 0.250 0.243
Sr2 Sr 0.805 0.750 0.757
Bi1 Bi 0.244 0.750 0.472
Bi2 Bi 0.334 0.250 0.864
Bi3 Bi 0.666 0.750 0.136
Bi4 Bi 0.756 0.250 0.528
Mo1 Mo 0.141 0.750 0.009
Mo2 Mo 0.270 0.250 0.624
Mo3 Mo 0.730 0.750 0.376
Mo4 Mo 0.859 0.250 0.991
```

Values from the calculation:
Theoretical density (g cm⁻³): 8.88

---

A geometry-optimized TaBiMo2 structure, computed with PBE.

CIF file:
```
data_TaBiMo2
_cell_length_a 4.708
_cell_length_b 4.708
_cell_length_c 4.708
_cell_angle_alpha 60.00
_cell_angle_beta 60.00
_cell_angle_gamma 60.00
_symmetry_space_group_name_H-M 'P 1'
_symmetry_Int_Tables_number 1
loop_
_symmetry_equiv_pos_as_xyz
'x,y,z'
loop_
_atom_site_label
_atom_site_type_symbol
_atom_site_fract_x
_atom_site_fract_y
_atom_site_fract_z
Ta1 Ta 0.000 0.000 0.000
Bi1 Bi 0.750 0.750 0.750
Mo1 Mo 0.250 0.250 0.250
Mo2 Mo 0.500 0.500 0.500
```

Values from the calculation:
Theoretical density (g cm⁻³): 13.10

---

A geometry-optimized TbBiMo structure, computed with PBE.

CIF file:
```
data_TbBiMo
_cell_length_a 4.810
_cell_length_b 4.810
_cell_length_c 4.810
_cell_angle_alpha 60.00
_cell_angle_beta 60.00
_cell_angle_gamma 60.00
_symmetry_space_group_name_H-M 'P 1'
_symmetry_Int_Tables_number 1
loop_
_symmetry_equiv_pos_as_xyz
'x,y,z'
loop_
_atom_site_label
_atom_site_type_symbol
_atom_site_fract_x
_atom_site_fract_y
_atom_site_fract_z
Tb1 Tb 0.000 0.000 0.000
Bi1 Bi 0.500 0.500 0.500
Mo1 Mo 0.750 0.750 0.750
```

Values from the calculation:
Excess energy over the best structure of this formula in the dataset (meV/atom): 0
Theoretical density (g cm⁻³): 9.79

---

A geometry-optimized TcBiMo structure, computed with PBE.

CIF file:
```
data_TcBiMo
_cell_length_a 4.434
_cell_length_b 4.434
_cell_length_c 4.434
_cell_angle_alpha 60.00
_cell_angle_beta 60.00
_cell_angle_gamma 60.00
_symmetry_space_group_name_H-M 'P 1'
_symmetry_Int_Tables_number 1
loop_
_symmetry_equiv_pos_as_xyz
'x,y,z'
loop_
_atom_site_label
_atom_site_type_symbol
_atom_site_fract_x
_atom_site_fract_y
_atom_site_fract_z
Tc1 Tc 0.000 0.000 0.000
Bi1 Bi 0.750 0.750 0.750
Mo1 Mo 0.250 0.250 0.250
```

Values from the calculation:
Excess energy over the best structure of this formula in the dataset (meV/atom): 0
Theoretical density (g cm⁻³): 10.86

---

A geometry-optimized BiTeMo structure, computed with PBE.

CIF file:
```
data_BiTeMo
_cell_length_a 4.844
_cell_length_b 4.844
_cell_length_c 4.844
_cell_angle_alpha 60.00
_cell_angle_beta 60.00
_cell_angle_gamma 60.00
_symmetry_space_group_name_H-M 'P 1'
_symmetry_Int_Tables_number 1
loop_
_symmetry_equiv_pos_as_xyz
'x,y,z'
loop_
_atom_site_label
_atom_site_type_symbol
_atom_site_fract_x
_atom_site_fract_y
_atom_site_fract_z
Bi1 Bi 0.000 0.000 0.000
Te1 Te 0.500 0.500 0.500
Mo1 Mo 0.250 0.250 0.250
```

Values from the calculation:
Theoretical density (g cm⁻³): 8.94

---

Number 1: calculated total energy -5.1983 eV/atom, M_tot 0.43 μB/cell. Number 2: calculated total energy -6.0189 eV/atom, M_tot 1.24 μB/cell. Number 3: calculated total energy -5.6093 eV/atom, M_tot 0.02 μB/cell. Number 4: calculated total energy -5.8379 eV/atom, M_tot 4.12 μB/cell. Number 5: calculated total energy -8.7541 eV/atom, M_tot 0.00 μB/cell. Number 6: calculated total energy -6.0330 eV/atom, M_tot 0.15 μB/cell. Number 7: calculated total energy -7.9426 eV/atom, M_tot 0.01 μB/cell. Number 8: calculated total energy -5.5871 eV/atom, M_tot 2.01 μB/cell.